{
  "formula": "ReMoAs2",
  "functional": "PBEsol",
  "state": "optimized geometry",
  "lattice_angstrom": [[3.061, 0.000, 0.000], [0.000, 4.344, 0.000], [0.000, 0.000, 4.344]],
  "species": ["Mo", "As", "Re", "As"],
  "fractional_positions": [[0.500, 0.500, 0.500], [0.000, 0.500, 0.000], [0.500, 0.000, 0.000], [0.000, 0.000, 0.500]],
  "vol_a3_per_atom": 14.44,
  "sg": "No. 123",
  "formation_enthalpy_0k_ev_per_atom": 0.052,
  "density_g_cm3": 12.4,
  "polymorph_energy_mev_per_atom": 0
}

{
  "formula": "CdTcNi6",
  "functional": "PBEsol",
  "state": "optimized geometry",
  "lattice_angstrom": [[-2.086, 3.487, -4.743], [-4.779, -3.110, 2.549], [-1.628, 7.770, 6.428]],
  "species": ["Ni", "Ni", "Ni", "Tc", "Ni", "Ni", "Tc", "Ni", "Ni", "Ni", "Ni", "Ni", "Cd", "Ni", "Ni", "Cd", "Tc", "Tc", "Cd", "Ni", "Ni", "Cd", "Ni", "Ni", "Ni", "Ni", "Ni", "Ni", "Ni", "Ni", "Ni", "Ni"],
  "fractional_positions": [[0.244, 0.756, 0.260], [0.887, 0.630, 0.620], [0.244, 0.756, 0.740], [0.000, 0.000, 0.755], [0.000, 0.000, 0.500], [0.756, 0.244, 0.740], [0.747, 0.253, 0.500], [0.118, 0.363, 0.131], [0.882, 0.637, 0.131], [0.887, 0.630, 0.380], [0.113, 0.370, 0.620], [0.630, 0.887, 0.380], [0.500, 0.500, 0.748], [0.363, 0.118, 0.131], [0.000, 0.000, 0.000], [0.255, 0.745, 0.000], [0.000, 0.000, 0.245], [0.253, 0.747, 0.500], [0.500, 0.500, 0.252], [0.637, 0.882, 0.131], [0.370, 0.113, 0.380], [0.745, 0.255, 0.000], [0.630, 0.887, 0.620], [0.882, 0.637, 0.869], [0.637, 0.882, 0.869], [0.113, 0.370, 0.380], [0.363, 0.118, 0.869], [0.500, 0.500, 0.500], [0.756, 0.244, 0.260], [0.118, 0.363, 0.869], [0.370, 0.113, 0.620], [0.500, 0.500, 0.000]],
  "vol_a3_per_atom": 11.74,
  "sg": "No. 65",
  "formation_enthalpy_0k_ev_per_atom": 0.057,
  "density_g_cm3": 9.9
}

{
  "formula": "Y2Tc",
  "functional": "PBEsol",
  "state": "optimized geometry",
  "lattice_angstrom": [[5.728, 0.000, 0.000], [2.864, 4.978, 0.000], [2.864, 0.000, 4.978]],
  "species": ["Y", "Y", "Tc", "Tc", "Y", "Y"],
  "fractional_positions": [[0.173, 0.500, 0.155], [0.827, 0.500, 0.845], [0.250, 0.000, 0.000], [0.750, 0.000, 0.000], [0.673, 0.155, 0.500], [0.327, 0.845, 0.500]],
  "vol_a3_per_atom": 23.65,
  "sg": "No. 140",
  "formation_enthalpy_0k_ev_per_atom": 0.030,
  "density_g_cm3": 6.5,
  "polymorph_energy_mev_per_atom": 12
}

{
  "formula": "Al2S3",
  "functional": "PBEsol",
  "state": "optimized geometry",
  "lattice_angstrom": [[-4.225, -0.652, 4.241], [-2.880, -5.254, 0.598], [1.421, -3.645, 5.130]],
  "species": ["S", "Al", "Al", "Al", "S", "S", "S", "S", "Al", "S"],
  "fractional_positions": [[0.556, 0.944, 0.250], [0.151, 0.151, 0.546], [0.849, 0.849, 0.454], [0.651, 0.651, 0.046], [0.250, 0.556, 0.250], [0.750, 0.444, 0.750], [0.056, 0.750, 0.750], [0.944, 0.250, 0.250], [0.349, 0.349, 0.954], [0.444, 0.056, 0.750]],
  "vol_a3_per_atom": 17.07,
  "sg": "No. 167",
  "raw_formation_energy_ev_per_atom": -1.089,
  "density_g_cm3": 2.9
}

{
  "formula": "Li2TcAg",
  "functional": "PBEsol",
  "state": "optimized geometry",
  "lattice_angstrom": [[-1.699, -3.505, -1.754], [1.692, -1.640, -3.563], [2.119, -3.706, 0.152]],
  "species": ["Ag", "Li", "Li", "Tc"],
  "fractional_positions": [[0.000, 0.000, 0.000], [0.250, 0.250, 0.250], [0.750, 0.750, 0.750], [0.500, 0.500, 0.500]],
  "vol_a3_per_atom": 13.78,
  "sg": "No. 225",
  "formation_enthalpy_0k_ev_per_atom": 0.592,
  "density_g_cm3": 6.6,
  "polymorph_energy_mev_per_atom": 268
}

{
  "formula": "NaSmAu2",
  "functional": "PBEsol",
  "state": "optimized geometry",
  "lattice_angstrom": [[-4.755, -1.374, -0.278], [-1.797, -1.871, -4.225], [-1.179, -4.807, -0.278]],
  "species": ["Na", "Au", "Au", "Sm"],
  "fractional_positions": [[0.500, 0.500, 0.500], [0.250, 0.250, 0.250], [0.750, 0.750, 0.750], [0.000, 0.000, 0.000]],
  "vol_a3_per_atom": 21.54,
  "sg": "No. 225",
  "formation_enthalpy_0k_ev_per_atom": -0.541,
  "density_g_cm3": 10.9
}

{
  "formula": "Li3HPb",
  "functional": "PBEsol",
  "state": "optimized geometry",
  "lattice_angstrom": [[-0.063, -1.794, -3.743], [4.085, 0.634, -0.373], [0.733, -3.690, 1.756]],
  "species": ["Li", "Li", "Li", "Pb", "H"],
  "fractional_positions": [[0.000, 0.000, 0.500], [0.500, 0.000, 0.000], [0.000, 0.500, 0.000], [0.500, 0.500, 0.500], [0.000, 0.000, 0.000]],
  "vol_a3_per_atom": 14.31,
  "sg": "No. 221",
  "total_energy_ev_per_atom": -2.936,
  "density_g_cm3": 5.3
}

{
  "formula": "ReW2Au",
  "functional": "PBEsol",
  "state": "optimized geometry",
  "lattice_angstrom": [[2.708, 0.006, 0.000], [-0.844, 2.573, 0.000], [0.000, 0.000, 9.014]],
  "species": ["Re", "W", "Au", "W"],
  "fractional_positions": [[0.500, 0.500, 0.239], [0.500, 0.500, 0.759], [0.000, 0.000, 0.501], [0.000, 0.000, 0.002]],
  "vol_a3_per_atom": 15.72,
  "sg": "No. 35",
  "formation_enthalpy_0k_ev_per_atom": 0.281,
  "density_g_cm3": 19.8,
  "polymorph_energy_mev_per_atom": 33
}

{
  "formula": "Mn10CuGe5",
  "functional": "PBEsol",
  "state": "optimized geometry",
  "lattice_angstrom": [[-0.342, 4.194, -1.690], [1.817, -0.063, -6.606], [-6.304, 0.921, -2.521]],
  "species": ["Ge", "Mn", "Cu", "Mn", "Mn", "Mn", "Mn", "Mn", "Ge", "Mn", "Mn", "Ge", "Mn", "Ge", "Mn", "Ge"],
  "fractional_positions": [[0.418, 0.500, 0.164], [0.673, 0.308, 0.844], [0.000, 0.000, 0.000], [0.327, 0.156, 0.692], [0.019, 0.308, 0.156], [0.981, 0.844, 0.692], [0.000, 0.500, 0.500], [0.517, 0.156, 0.308], [0.500, 0.000, 0.000], [0.483, 0.692, 0.844], [0.500, 0.500, 0.500], [0.582, 0.836, 0.500], [0.825, 0.692, 0.156], [0.082, 0.500, 0.836], [0.175, 0.844, 0.308], [0.918, 0.164, 0.500]],
  "vol_a3_per_atom": 11.85,
  "sg": "No. 97",
  "formation_enthalpy_0k_ev_per_atom": -0.017,
  "density_g_cm3": 8.6
}

{
  "formula": "Ni2POs",
  "functional": "PBEsol",
  "state": "optimized geometry",
  "lattice_angstrom": [[-2.063, 0.830, 1.455], [-0.268, -0.820, 2.513], [3.321, 5.995, 3.716]],
  "species": ["Ni", "Os", "P", "Ni"],
  "fractional_positions": [[0.741, 0.741, 0.777], [0.500, 0.500, 0.500], [0.000, 0.000, 0.000], [0.259, 0.259, 0.223]],
  "vol_a3_per_atom": 11.69,
  "sg": "No. 166",
  "formation_enthalpy_0k_ev_per_atom": -0.051,
  "density_g_cm3": 12.0,
  "polymorph_energy_mev_per_atom": 54
}

{
  "formula": "Ba2TaOs",
  "functional": "PBEsol",
  "state": "optimized geometry",
  "lattice_angstrom": [[-1.972, 0.255, -2.376], [-4.132, -1.266, 3.292], [-0.756, 5.682, 1.236]],
  "species": ["Ba", "Ta", "Os", "Ba"],
  "fractional_positions": [[0.000, 0.000, 0.752], [0.500, 0.500, 0.500], [0.500, 0.500, 0.000], [0.000, 0.000, 0.248]],
  "vol_a3_per_atom": 24.67,
  "sg": "No. 47",
  "formation_enthalpy_0k_ev_per_atom": 1.367,
  "density_g_cm3": 10.9,
  "polymorph_energy_mev_per_atom": 959
}

{
  "formula": "Ta2TlIr",
  "functional": "PBEsol",
  "state": "optimized geometry",
  "lattice_angstrom": [[2.919, 0.000, 0.000], [0.000, 2.919, 0.000], [0.000, 0.000, 8.357]],
  "species": ["Ta", "Tl", "Ta", "Ir"],
  "fractional_positions": [[0.500, 0.500, 0.238], [0.000, 0.000, 0.516], [0.000, 0.000, 0.978], [0.500, 0.500, 0.768]],
  "vol_a3_per_atom": 17.80,
  "sg": "No. 99",
  "formation_enthalpy_0k_ev_per_atom": 0.102,
  "density_g_cm3": 17.7,
  "polymorph_energy_mev_per_atom": 0
}